1.
DFT (PBE) results for Na12Cd6Hg after structural relaxation.

Values from the calculation:
Energy above the lowest structure with this stoichiometry in eV/atom: 0.000
Crystal system: trigonal
Density of states at the Fermi level in states/eV/cell: 6.22
Total DFT energy (no corrections) in eV for the cell shown: -23.1

a b c (Å): 8.9945 8.9945 8.9945
angles (deg): 111.22 111.22 111.22
Atoms (fractional coordinates):
Na (0.0244, 0.2925, 0.1818)
Na (0.1818, 0.0244, 0.2925)
Na (0.2447, 0.6162, 0.6663)
Na (0.2925, 0.1818, 0.0244)
Na (0.3337, 0.7553, 0.3838)
Na (0.3838, 0.3337, 0.7553)
Na (0.6162, 0.6663, 0.2447)
Na (0.6663, 0.2447, 0.6162)
Na (0.7075, 0.8182, 0.9756)
Na (0.7553, 0.3838, 0.3337)
Na (0.8182, 0.9756, 0.7075)
Na (0.9756, 0.7075, 0.8182)
Cd (0.0773, 0.8612, 0.5381)
Cd (0.1388, 0.4619, 0.9227)
Cd (0.4619, 0.9227, 0.1388)
Cd (0.5381, 0.0773, 0.8612)
Cd (0.8612, 0.5381, 0.0773)
Cd (0.9227, 0.1388, 0.4619)
Hg (0.5000, 0.5000, 0.5000)

---

2.
DFT (PBE) results for Na2Cd8Hg after structural relaxation.

Values from the calculation:
Crystal system: tetragonal
Density of states at the Fermi level in states/eV/cell: 2.43
Total DFT energy (no corrections) in eV for the cell shown: -10.8

a b c (Å): 4.7478 4.7478 11.8493
angles (deg): 90.00 90.00 90.00
Atoms (fractional coordinates):
Na (0.0000, 0.0000, 0.1785)
Na (0.0000, 0.0000, 0.8215)
Cd (0.0000, 0.5000, 0.0000)
Cd (0.0000, 0.5000, 0.3560)
Cd (0.0000, 0.5000, 0.6440)
Cd (0.5000, 0.0000, 0.0000)
Cd (0.5000, 0.0000, 0.3560)
Cd (0.5000, 0.0000, 0.6440)
Cd (0.5000, 0.5000, 0.1778)
Cd (0.5000, 0.5000, 0.8222)
Hg (0.0000, 0.0000, 0.5000)

---

3.
DFT (PBE) results for Na3Cd3Hg after structural relaxation.

Values from the calculation:
Energy above the lowest structure with this stoichiometry in eV/atom: 0.000
Crystal system: monoclinic
Density of states at the Fermi level in states/eV/cell: 6.34
Total DFT energy (no corrections) in eV for the cell shown: -15.8

a b c (Å): 8.7241 5.3620 8.7244
angles (deg): 90.00 119.92 90.00
Atoms (fractional coordinates):
Na (0.0351, 0.2500, 0.4108)
Na (0.1245, 0.7500, 0.0364)
Na (0.4119, 0.7500, 0.8764)
Na (0.5881, 0.2500, 0.1236)
Na (0.8755, 0.2500, 0.9636)
Na (0.9649, 0.7500, 0.5892)
Cd (0.2719, 0.7500, 0.4520)
Cd (0.3200, 0.2500, 0.2713)
Cd (0.4506, 0.2500, 0.6795)
Cd (0.5494, 0.7500, 0.3205)
Cd (0.6800, 0.7500, 0.7287)
Cd (0.7281, 0.2500, 0.5480)
Hg (0.1667, 0.2500, 0.8333)
Hg (0.8333, 0.7500, 0.1667)

---

4.
DFT (PBE) results for NaCd4Hg7 after structural relaxation.

Values from the calculation:
Energy above the lowest structure with this stoichiometry in eV/atom: 0.017
Crystal system: monoclinic
Density of states at the Fermi level in states/eV/cell: 3.77
Total DFT energy (no corrections) in eV for the cell shown: -7.4

a b c (Å): 6.9839 6.9839 9.4323
angles (deg): 116.39 116.39 51.92
Atoms (fractional coordinates):
Na (0.0000, 0.0000, 0.0000)
Cd (0.2510, 0.2510, 0.6688)
Cd (0.4969, 0.4969, 0.6649)
Cd (0.5031, 0.5031, 0.3351)
Cd (0.7490, 0.7490, 0.3312)
Hg (0.0008, 0.0008, 0.3339)
Hg (0.2503, 0.2503, 0.9990)
Hg (0.2540, 0.2540, 0.3364)
Hg (0.5000, 0.5000, 0.0000)
Hg (0.7460, 0.7460, 0.6636)
Hg (0.7497, 0.7497, 0.0010)
Hg (0.9992, 0.9992, 0.6661)

---

5.
DFT (PBE) results for Na2Cd14Hg9 after structural relaxation.

Values from the calculation:
Crystal system: trigonal
Density of states at the Fermi level in states/eV/cell: 8.64
Total DFT energy (no corrections) in eV for the cell shown: -17.8

a b c (Å): 8.6459 8.6459 10.4236
angles (deg): 90.00 90.00 120.00
Atoms (fractional coordinates):
Na (0.3333, 0.6667, 0.1907)
Na (0.6667, 0.3333, 0.8093)
Cd (0.0000, 0.0000, 0.2873)
Cd (0.0000, 0.0000, 0.7127)
Cd (0.0064, 0.6642, 0.9697)
Cd (0.0129, 0.6759, 0.3987)
Cd (0.3241, 0.3370, 0.3987)
Cd (0.3358, 0.3422, 0.9697)
Cd (0.3370, 0.0129, 0.6013)
Cd (0.3422, 0.0064, 0.0303)
Cd (0.6578, 0.9936, 0.9697)
Cd (0.6630, 0.9871, 0.3987)
Cd (0.6642, 0.6578, 0.0303)
Cd (0.6759, 0.6630, 0.6013)
Cd (0.9871, 0.3241, 0.6013)
Cd (0.9936, 0.3358, 0.0303)
Hg (0.0000, 0.0000, 0.0000)
Hg (0.0161, 0.6598, 0.6832)
Hg (0.3333, 0.6667, 0.8447)
Hg (0.3402, 0.3563, 0.6832)
Hg (0.3563, 0.0161, 0.3168)
Hg (0.6437, 0.9839, 0.6832)
Hg (0.6598, 0.6437, 0.3168)
Hg (0.6667, 0.3333, 0.1553)
Hg (0.9839, 0.3402, 0.3168)

---

6.
DFT (PBE) results for NaCdHg after structural relaxation.

Values from the calculation:
Energy above the lowest structure with this stoichiometry in eV/atom: 0.000
Crystal system: hexagonal
Density of states at the Fermi level in states/eV/cell: 0.72
Total DFT energy (no corrections) in eV for the cell shown: -3.1

a b c (Å): 5.1219 5.1219 3.2688
angles (deg): 90.00 90.00 120.00
Atoms (fractional coordinates):
Na (0.0000, 0.0000, 0.0000)
Cd (0.6667, 0.3333, 0.5000)
Hg (0.3333, 0.6667, 0.5000)

---

7.
DFT (PBE) results for NaCd4Hg2 after structural relaxation.

Values from the calculation:
Energy above the lowest structure with this stoichiometry in eV/atom: 0.048
Crystal system: tetragonal
Density of states at the Fermi level in states/eV/cell: 4.38
Total DFT energy (no corrections) in eV for the cell shown: -11.6

a b c (Å): 4.1041 4.1041 21.5183
angles (deg): 90.00 90.00 90.00
Atoms (fractional coordinates):
Na (0.0000, 0.0000, 0.0000)
Na (0.5000, 0.5000, 0.5000)
Cd (0.0000, 0.0000, 0.1426)
Cd (0.0000, 0.0000, 0.8574)
Cd (0.0000, 0.5000, 0.2500)
Cd (0.0000, 0.5000, 0.7500)
Cd (0.5000, 0.0000, 0.2500)
Cd (0.5000, 0.0000, 0.7500)
Cd (0.5000, 0.5000, 0.3574)
Cd (0.5000, 0.5000, 0.6426)
Hg (0.0000, 0.0000, 0.4166)
Hg (0.0000, 0.0000, 0.5834)
Hg (0.5000, 0.5000, 0.0833)
Hg (0.5000, 0.5000, 0.9166)

---

8.
DFT (PBE) results for Na2Cd3Hg6 after structural relaxation.

Values from the calculation:
Energy above the lowest structure with this stoichiometry in eV/atom: 0.000
Crystal system: orthorhombic
Density of states at the Fermi level in states/eV/cell: 2.00
Total DFT energy (no corrections) in eV for the cell shown: -8.2

a b c (Å): 9.6028 9.6028 3.4022
angles (deg): 90.00 90.00 115.21
Atoms (fractional coordinates):
Na (0.2170, 0.2170, 0.0000)
Na (0.7830, 0.7830, 0.0000)
Cd (0.2516, 0.7484, 0.0000)
Cd (0.5000, 0.5000, 0.5000)
Cd (0.7484, 0.2516, 0.0000)
Hg (0.0967, 0.9033, 0.5000)
Hg (0.1404, 0.4516, 0.5000)
Hg (0.4516, 0.1404, 0.5000)
Hg (0.5484, 0.8596, 0.5000)
Hg (0.8596, 0.5484, 0.5000)
Hg (0.9033, 0.0967, 0.5000)

---

no.,energy of formation from the pure elements (eV/atom)
1,-0.08
2,-0.05
3,-0.13
4,-0.02
5,0.02
6,-0.18
7,-0.03
8,-0.09